Entry 1:
First-principles (PBEsol) data for crystalline Be2WAu at its relaxed geometry, as listed in the Alexandria database.

total DFT energy (no corrections)	-5.8683	eV per atom
mass density	12.66	Mg/m³
energy of formation	0.565	eV per atom

Lattice parameters (Å, degrees): 5.164 5.164 5.164 105.86 105.86 116.97
Element x y z (fractional)
Be: 0.109 0.125 0.484
Be: 0.375 0.891 0.016
Be: 0.641 0.625 0.516
Be: 0.875 0.359 0.984
W: 0.250 0.750 0.500
W: 0.500 0.500 0.000
Au: 0.000 0.000 0.000
Au: 0.750 0.250 0.500



Entry 2:
First-principles (PBEsol) data for crystalline YHI2 at its relaxed geometry, as listed in the Alexandria database.

total DFT energy (no corrections)	-4.6564	eV per atom
mass density	5.55	Mg/m³

Lattice parameters (Å, degrees): 3.931 3.931 8.024 104.44 104.44 60.02
Element x y z (fractional)
Y: 0.000 0.000 0.000
H: 0.333 0.333 0.000
I: 0.574 0.574 0.728
I: 0.759 0.759 0.272



Entry 3:
First-principles (PBEsol) data for crystalline ZrSc at its relaxed geometry, as listed in the Alexandria database.

total DFT energy (no corrections)	-7.8240	eV per atom
mass density	5.05	Mg/m³
energy of formation	0.023	eV per atom

Lattice parameters (Å, degrees): 3.147 3.147 4.519 90.00 90.00 90.00
Element x y z (fractional)
Zr: 0.000 0.000 0.000
Sc: 0.500 0.500 0.500



Entry 4:
First-principles (PBEsol) data for crystalline Tl2NiTe at its relaxed geometry, as listed in the Alexandria database.

total DFT energy (no corrections)	-3.4168	eV per atom
mass density	10.50	Mg/m³
relative energy among the computed polymorphs	0.088	eV per atom
E_form (uncorrected)	0.32	eV per atom

Lattice parameters (Å, degrees): 6.212 6.212 6.212 141.02 141.02 56.31
Element x y z (fractional)
Tl: 0.250 0.750 0.500
Tl: 0.750 0.250 0.500
Ni: 0.000 0.000 0.000
Te: 0.500 0.500 0.000



Entry 5:
First-principles (PBEsol) data for crystalline FeSi2N at its relaxed geometry, as listed in the Alexandria database.

total DFT energy (no corrections)	-7.3986	eV per atom
mass density	4.53	Mg/m³
E_form (uncorrected)	-0.15	eV per atom

Lattice parameters (Å, degrees): 5.028 5.028 5.028 118.08 118.08 93.35
Element x y z (fractional)
Fe: 0.000 0.000 0.000
Fe: 0.750 0.250 0.500
Si: 0.187 0.625 0.062
Si: 0.375 0.437 0.562
Si: 0.563 0.125 0.938
Si: 0.875 0.813 0.438
N: 0.250 0.750 0.500
N: 0.500 0.500 0.000



Entry 6:
First-principles (PBEsol) data for crystalline Hf2Zn2Ag at its relaxed geometry, as listed in the Alexandria database.

total DFT energy (no corrections)	-5.6704	eV per atom
mass density	11.44	Mg/m³
energy of formation	-0.174	eV per atom

Lattice parameters (Å, degrees): 6.646 6.646 3.915 90.00 90.00 90.00
Element x y z (fractional)
Hf: 0.168 0.332 0.000
Hf: 0.332 0.832 0.000
Hf: 0.668 0.168 0.000
Hf: 0.832 0.668 0.000
Zn: 0.131 0.631 0.500
Zn: 0.369 0.131 0.500
Zn: 0.631 0.869 0.500
Zn: 0.869 0.369 0.500
Ag: 0.000 0.000 0.500
Ag: 0.500 0.500 0.500



Entry 7:
First-principles (PBEsol) data for crystalline ReH2Rh2 at its relaxed geometry, as listed in the Alexandria database.

total DFT energy (no corrections)	-7.2961	eV per atom
mass density	13.82	Mg/m³

Lattice parameters (Å, degrees): 6.539 6.539 6.539 155.69 155.69 34.65
Element x y z (fractional)
Re: 0.000 0.000 0.000
H: 0.250 0.750 0.500
H: 0.750 0.250 0.500
Rh: 0.351 0.351 0.000
Rh: 0.649 0.649 0.000



Entry 8:
First-principles (PBEsol) data for crystalline In2AgW at its relaxed geometry, as listed in the Alexandria database.

total DFT energy (no corrections)	-5.1820	eV per atom
mass density	11.79	Mg/m³
energy of formation	0.589	eV per atom
relative energy among the computed polymorphs	0.222	eV per atom

Lattice parameters (Å, degrees): 5.219 5.219 5.219 133.54 133.54 67.81
Element x y z (fractional)
In: 0.250 0.750 0.500
In: 0.750 0.250 0.500
Ag: 0.000 0.000 0.000
W: 0.500 0.500 0.000



Entry 9:
First-principles (PBEsol) data for crystalline Nb3FeSe8S2 at its relaxed geometry, as listed in the Alexandria database.

total DFT energy (no corrections)	-6.4912	eV per atom
mass density	5.96	Mg/m³
E_form (uncorrected)	-0.71	eV per atom

Lattice parameters (Å, degrees): 9.188 3.443 9.895 90.00 113.55 90.00
Element x y z (fractional)
Nb: 0.000 0.000 0.000
Nb: 0.180 0.500 0.705
Nb: 0.454 0.500 0.268
Fe: 0.272 0.000 0.528
Se: 0.214 0.500 0.995
Se: 0.243 0.000 0.276
Se: 0.466 0.500 0.546
Se: 0.561 0.000 0.129
Se: 0.693 0.000 0.390
Se: 0.763 0.500 0.877
Se: 0.891 0.500 0.139
Se: 0.961 0.000 0.711
S: 0.095 0.500 0.453
S: 0.382 0.000 0.776



Entry 10:
First-principles (PBEsol) data for crystalline SrFe2Au at its relaxed geometry, as listed in the Alexandria database.

total DFT energy (no corrections)	-5.3123	eV per atom
mass density	9.30	Mg/m³
energy of formation	0.611	eV per atom

Lattice parameters (Å, degrees): 4.085 4.085 4.242 90.00 90.00 90.00
Element x y z (fractional)
Sr: 0.000 0.000 0.000
Fe: 0.000 0.500 0.500
Fe: 0.500 0.000 0.500
Au: 0.500 0.500 0.000



Entry 11:
First-principles (PBEsol) data for crystalline YZnTcPt2 at its relaxed geometry, as listed in the Alexandria database.

total DFT energy (no corrections)	-6.4491	eV per atom
mass density	10.13	Mg/m³
energy of formation	0.270	eV per atom

Lattice parameters (Å, degrees): 4.764 4.764 4.639 90.00 90.00 90.00
Element x y z (fractional)
Y: 0.000 0.000 0.000
Zn: 0.500 0.500 0.000
Tc: 0.500 0.500 0.500
Pt: 0.000 0.500 0.500
Pt: 0.500 0.000 0.500



Entry 12:
First-principles (PBEsol) data for crystalline ZrNbB4 at its relaxed geometry, as listed in the Alexandria database.

total DFT energy (no corrections)	-8.9356	eV per atom
mass density	6.55	Mg/m³
energy of formation	-0.939	eV per atom

Lattice parameters (Å, degrees): 3.128 3.128 6.801 90.00 90.00 120.00
Element x y z (fractional)
Zr: 0.000 0.000 0.000
Nb: 0.000 0.000 0.500
B: 0.333 0.667 0.257
B: 0.333 0.667 0.743
B: 0.667 0.333 0.257
B: 0.667 0.333 0.743



Entry 13:
First-principles (PBEsol) data for crystalline ZrTe2W at its relaxed geometry, as listed in the Alexandria database.

total DFT energy (no corrections)	-7.0922	eV per atom
mass density	9.89	Mg/m³
relative energy among the computed polymorphs	0.428	eV per atom
E_form (uncorrected)	0.40	eV per atom

Lattice parameters (Å, degrees): 9.753 9.753 9.753 19.35 19.35 19.35
Element x y z (fractional)
Zr: 0.000 0.000 0.000
Te: 0.409 0.409 0.409
Te: 0.591 0.591 0.591
W: 0.500 0.500 0.500



Entry 14:
First-principles (PBEsol) data for crystalline ZrGaSiTc2 at its relaxed geometry, as listed in the Alexandria database.

total DFT energy (no corrections)	-7.6562	eV per atom
mass density	7.44	Mg/m³
E_form (uncorrected)	0.49	eV per atom

Lattice parameters (Å, degrees): 4.453 4.453 4.335 90.00 90.00 90.00
Element x y z (fractional)
Zr: 0.000 0.000 0.000
Ga: 0.500 0.500 0.000
Si: 0.500 0.500 0.500
Tc: 0.000 0.500 0.500
Tc: 0.500 0.000 0.500



Entry 15:
First-principles (PBEsol) data for crystalline ZrAs2HSe at its relaxed geometry, as listed in the Alexandria database.

total DFT energy (no corrections)	-5.4055	eV per atom
mass density	6.70	Mg/m³

Lattice parameters (Å, degrees): 3.903 3.903 5.218 90.00 90.00 90.00
Element x y z (fractional)
Zr: 0.000 0.000 0.000
As: 0.000 0.500 0.500
As: 0.500 0.000 0.500
H: 0.500 0.500 0.500
Se: 0.500 0.500 0.000



Entry 16:
First-principles (PBEsol) data for crystalline KCu at its relaxed geometry, as listed in the Alexandria database.

total DFT energy (no corrections)	-2.2953	eV per atom
mass density	3.01	Mg/m³
energy of formation	0.438	eV per atom
relative energy among the computed polymorphs	0.037	eV per atom

Lattice parameters (Å, degrees): 5.881 5.881 5.881 136.76 123.74 73.50
Element x y z (fractional)
K: 0.344 0.094 0.250
K: 0.656 0.906 0.750
Cu: 0.043 0.293 0.750
Cu: 0.957 0.707 0.250



Entry 17:
First-principles (PBEsol) data for crystalline LaP2W at its relaxed geometry, as listed in the Alexandria database.

total DFT energy (no corrections)	-7.1900	eV per atom
mass density	9.02	Mg/m³
energy of formation	0.494	eV per atom
relative energy among the computed polymorphs	1.204	eV per atom

Lattice parameters (Å, degrees): 4.643 4.643 4.643 60.00 60.00 60.00
Element x y z (fractional)
La: 0.000 0.000 0.000
P: 0.250 0.250 0.250
P: 0.500 0.500 0.500
W: 0.750 0.750 0.750



Entry 18:
First-principles (PBEsol) data for crystalline Cr2FeRe at its relaxed geometry, as listed in the Alexandria database.

total DFT energy (no corrections)	-10.4898	eV per atom
mass density	12.06	Mg/m³
energy of formation	0.205	eV per atom
relative energy among the computed polymorphs	0.113	eV per atom

Lattice parameters (Å, degrees): 2.554 2.554 7.305 90.00 90.00 90.00
Element x y z (fractional)
Cr: 0.000 0.000 0.000
Cr: 0.500 0.500 0.249
Fe: 0.000 0.000 0.468
Re: 0.500 0.500 0.720



Entry 19:
First-principles (PBEsol) data for crystalline La2TcBr at its relaxed geometry, as listed in the Alexandria database.

total DFT energy (no corrections)	-6.1780	eV per atom
mass density	7.78	Mg/m³
relative energy among the computed polymorphs	0.403	eV per atom
E_form (uncorrected)	-0.22	eV per atom

Lattice parameters (Å, degrees): 5.184 5.184 5.184 125.62 114.49 90.18
Element x y z (fractional)
La: 0.233 0.233 0.000
La: 0.767 0.767 0.000
Tc: 0.000 0.500 0.500
Br: 0.500 0.000 0.500



Entry 20:
First-principles (PBEsol) data for crystalline Si2HgRu at its relaxed geometry, as listed in the Alexandria database.

total DFT energy (no corrections)	-5.5692	eV per atom
mass density	8.97	Mg/m³
E_form (uncorrected)	-0.01	eV per atom

Lattice parameters (Å, degrees): 2.896 2.896 7.897 90.00 90.00 90.00
Element x y z (fractional)
Si: 0.000 0.000 0.185
Si: 0.000 0.000 0.815
Hg: 0.500 0.500 0.500
Ru: 0.500 0.500 0.000



Entry 21:
First-principles (PBEsol) data for crystalline TaGaGe3 at its relaxed geometry, as listed in the Alexandria database.

total DFT energy (no corrections)	-5.6917	eV per atom
mass density	6.35	Mg/m³
energy of formation	0.450	eV per atom

Lattice parameters (Å, degrees): 4.967 4.967 4.967 90.00 90.00 90.00
Element x y z (fractional)
Ta: 0.000 0.000 0.000
Ga: 0.500 0.500 0.500
Ge: 0.000 0.000 0.500
Ge: 0.000 0.500 0.000
Ge: 0.500 0.000 0.000



Entry 22:
First-principles (PBEsol) data for crystalline Ca2Te at its relaxed geometry, as listed in the Alexandria database.

total DFT energy (no corrections)	-3.4702	eV per atom
mass density	3.33	Mg/m³
E_form (uncorrected)	-0.87	eV per atom

Lattice parameters (Å, degrees): 14.097 14.097 14.097 164.21 164.21 22.40
Element x y z (fractional)
Ca: 0.310 0.560 0.750
Ca: 0.440 0.690 0.750
Ca: 0.560 0.310 0.250
Ca: 0.690 0.440 0.250
Te: 0.125 0.875 0.250
Te: 0.875 0.125 0.750



Entry 23:
First-principles (PBEsol) data for crystalline Ta4RhBr at its relaxed geometry, as listed in the Alexandria database.

total DFT energy (no corrections)	-9.2485	eV per atom
mass density	13.68	Mg/m³
E_form (uncorrected)	0.79	eV per atom

Lattice parameters (Å, degrees): 5.379 5.379 5.379 60.00 60.00 60.00
Element x y z (fractional)
Ta: 0.124 0.124 0.124
Ta: 0.124 0.124 0.627
Ta: 0.124 0.627 0.124
Ta: 0.627 0.124 0.124
Rh: 0.750 0.750 0.750
Br: 0.500 0.500 0.500



Entry 24:
First-principles (PBEsol) data for crystalline Ca2AlRe at its relaxed geometry, as listed in the Alexandria database.

total DFT energy (no corrections)	-4.7759	eV per atom
mass density	5.80	Mg/m³
energy of formation	0.647	eV per atom

Lattice parameters (Å, degrees): 10.299 10.299 10.299 17.27 17.27 17.27
Element x y z (fractional)
Ca: 0.245 0.245 0.245
Ca: 0.755 0.755 0.755
Al: 0.000 0.000 0.000
Re: 0.500 0.500 0.500



Entry 25:
First-principles (PBEsol) data for crystalline MgTiF5 at its relaxed geometry, as listed in the Alexandria database.

total DFT energy (no corrections)	-6.1694	eV per atom
mass density	3.16	Mg/m³
relative energy among the computed polymorphs	0.000	eV per atom
E_form (uncorrected)	-3.36	eV per atom

Lattice parameters (Å, degrees): 5.278 5.278 7.329 110.35 110.35 72.71
Element x y z (fractional)
Mg: 0.028 0.972 0.750
Mg: 0.972 0.028 0.250
Ti: 0.500 0.500 0.000
Ti: 0.500 0.500 0.500
F: 0.174 0.791 0.047
F: 0.209 0.826 0.453
F: 0.222 0.286 0.367
F: 0.286 0.222 0.867
F: 0.364 0.636 0.750
F: 0.636 0.364 0.250
F: 0.714 0.778 0.133
F: 0.778 0.714 0.633
F: 0.791 0.174 0.547
F: 0.826 0.209 0.953



Entry 26:
First-principles (PBEsol) data for crystalline KCd2O2 at its relaxed geometry, as listed in the Alexandria database.

total DFT energy (no corrections)	-3.5484	eV per atom
mass density	4.92	Mg/m³
E_form (uncorrected)	-0.74	eV per atom

Lattice parameters (Å, degrees): 6.817 6.817 6.817 145.75 145.75 49.22
Element x y z (fractional)
K: 0.000 0.000 0.000
Cd: 0.250 0.750 0.500
Cd: 0.750 0.250 0.500
O: 0.346 0.346 0.000
O: 0.654 0.654 0.000



Entry 27:
First-principles (PBEsol) data for crystalline ZnSe2Cl at its relaxed geometry, as listed in the Alexandria database.

total DFT energy (no corrections)	-2.4819	eV per atom
mass density	5.78	Mg/m³
relative energy among the computed polymorphs	0.364	eV per atom
E_form (uncorrected)	0.34	eV per atom

Lattice parameters (Å, degrees): 5.001 5.001 2.975 90.00 90.00 90.00
Element x y z (fractional)
Zn: 0.000 0.000 0.000
Se: 0.000 0.500 0.500
Se: 0.500 0.000 0.500
Cl: 0.500 0.500 0.000